[1]
! NaZrReH2 PBE-GGA relaxed; values from VASP
&SYSTEM
  ibrav = 0, nat = 5, ntyp = 4
/
ATOMIC_SPECIES
Na 22.99 Na.upf
Zr 91.22 Zr.upf
Re 186.21 Re.upf
H 1.01 H.upf
ATOMIC_POSITIONS crystal
Na 0.000 0.000 0.000
Zr 0.500 0.500 0.000
Re 0.000 0.000 0.500
H 0.000 0.500 0.500
H 0.500 0.000 0.500
CELL_PARAMETERS angstrom
3.695 0.000 0.000
0.000 3.695 0.000
0.000 0.000 5.003
! Calculated total energy (eV per cell): -22.6
! Crystal system: tetragonal

[2]
! NaH3Rh PBE-GGA relaxed; values from VASP
&SYSTEM
  ibrav = 0, nat = 20, ntyp = 3
/
ATOMIC_SPECIES
Na 22.99 Na.upf
H 1.01 H.upf
Rh 102.91 Rh.upf
ATOMIC_POSITIONS crystal
Na 0.085 0.325 0.270
Na 0.325 0.085 0.770
Na 0.675 0.915 0.230
Na 0.915 0.675 0.730
H 0.015 0.803 0.141
H 0.195 0.673 0.540
H 0.197 0.985 0.359
H 0.327 0.805 0.960
H 0.330 0.478 0.022
H 0.478 0.330 0.522
H 0.522 0.670 0.478
H 0.670 0.522 0.978
H 0.673 0.195 0.040
H 0.803 0.015 0.641
H 0.805 0.327 0.460
H 0.985 0.197 0.859
Rh 0.258 0.742 0.250
Rh 0.420 0.580 0.750
Rh 0.580 0.420 0.250
Rh 0.742 0.258 0.750
CELL_PARAMETERS angstrom
4.720 -4.311 0.000
4.720 4.311 0.000
-1.170 0.000 5.019
! E above lowest polymorph (eV/f.u.): 0.46
! Crystal system: monoclinic

[3]
! NaH8Rh2 PBE-GGA relaxed; values from VASP
&SYSTEM
  ibrav = 0, nat = 11, ntyp = 3
/
ATOMIC_SPECIES
Na 22.99 Na.upf
H 1.01 H.upf
Rh 102.91 Rh.upf
ATOMIC_POSITIONS crystal
Na 0.000 0.000 0.000
H 0.037 0.333 0.504
H 0.299 0.701 0.000
H 0.333 0.037 0.504
H 0.476 0.476 0.262
H 0.524 0.524 0.738
H 0.667 0.963 0.496
H 0.701 0.299 0.000
H 0.963 0.667 0.496
Rh 0.321 0.679 0.500
Rh 0.679 0.321 0.500
CELL_PARAMETERS angstrom
2.720 -4.271 0.000
2.720 4.271 0.000
-0.045 0.000 3.546
! E above lowest polymorph (eV/f.u.): 0.00
! Crystal system: monoclinic

[4]
! NaH3Rh PBE-GGA relaxed; values from VASP
&SYSTEM
  ibrav = 0, nat = 10, ntyp = 3
/
ATOMIC_SPECIES
Na 22.99 Na.upf
H 1.01 H.upf
Rh 102.91 Rh.upf
ATOMIC_POSITIONS crystal
Na 0.000 0.000 0.000
Na 0.000 0.000 0.500
H 0.000 0.000 0.250
H 0.000 0.000 0.750
H 0.333 0.667 0.102
H 0.333 0.667 0.398
H 0.667 0.333 0.602
H 0.667 0.333 0.898
Rh 0.333 0.667 0.250
Rh 0.667 0.333 0.750
CELL_PARAMETERS angstrom
3.107 0.000 0.000
-1.554 2.691 0.000
0.000 0.000 11.175
! E above lowest polymorph (eV/f.u.): 0.97
! Crystal system: hexagonal